# 1
Material: LiGaNiOs
Method: DFT, GGA-PBE
State: relaxed

```
LiGaNiOs
1.0
5.8549 0.0000 0.0000
0.0000 5.8549 0.0000
0.0000 0.0000 5.8549
Li Ga Ni Os
4 4 4 4
Direct
0.0000 0.0000 0.0000
0.0000 0.5000 0.5000
0.5000 0.0000 0.5000
0.5000 0.5000 0.0000
0.2500 0.2500 0.2500
0.2500 0.7500 0.7500
0.7500 0.2500 0.7500
0.7500 0.7500 0.2500
0.0000 0.0000 0.5000
0.0000 0.5000 0.0000
0.5000 0.0000 0.0000
0.5000 0.5000 0.5000
0.2500 0.2500 0.7500
0.2500 0.7500 0.2500
0.7500 0.2500 0.2500
0.7500 0.7500 0.7500
```

Results
raw total energy = -5.2946 eV/atom
SG = F-43m (216)

***

# 2
Material: DyHo2CoSn3Ir2
Method: DFT, GGA-PBE
State: relaxed

```
DyHo2CoSn3Ir2
1.0
3.7698 0.0000 0.0000
0.0000 6.5267 3.7630
0.0000 -6.5267 3.7630
Dy Ho Co Sn Ir
1 2 1 3 2
Direct
0.0000 0.0000 0.0000
0.0000 0.4062 0.8123
0.0000 0.8123 0.4062
0.0000 0.4066 0.4066
0.5000 0.1531 0.4065
0.5000 0.4065 0.1531
0.5000 0.6592 0.6592
0.5000 0.0732 0.7388
0.5000 0.7388 0.0732
```

Results
raw total energy = -6.3704 eV/atom
SG = Amm2 (38)

***

# 3
Material: CdPt
Method: DFT, GGA-PBE
State: relaxed

```
CdPt
1.0
2.9671 0.0000 0.0000
-1.4835 2.5696 0.0000
0.0000 0.0000 4.6119
Cd Pt
1 1
Direct
0.0000 0.0000 0.0000
0.6667 0.3333 0.5000
```

Results
DFT formation energy = -0.4 eV/f.u.
SG = P-6m2 (187)

***

no.,total magnetic moment (μB per formula unit),calculated volume (Å³/atom)
1,1.1,12.544
2,0.0,20.575
3,0.0,17.581